This record from Alexandria describes a relaxed structure of Na2Sr2Cd. The functional is GGA-PBE.

Properties
calculated total energy: -1.413 eV/atom
V: 39.3 Å³/atom
DFT formation energy: -0.03 eV per atom
D(E_F): 5.65 states/eV per cell
crystal system: tetragonal
distance to the lowest polymorph of the same formula: 111 meV per atom

Cell: 4.3004 4.3004 21.2661 Å, 90.00 90.00 90.00°
Space group I4/mmm (No. 139)
Symmetry-distinct sites (fractional):
Na  0.0000  0.5000  0.2500 [4 per cell]
Sr  0.0000  0.0000  0.0897 [4 per cell]
Cd  0.0000  0.0000  0.5000 [2 per cell]

This record from Alexandria describes a relaxed structure of NaSr2Cd16. The functional is GGA-PBE.

Properties
calculated total energy: -1.185 eV/atom
V: 24.6 Å³/atom
DFT formation energy: -0.17 eV per atom
D(E_F): 20.64 states/eV per cell
crystal system: trigonal

Cell: 10.3502 10.3502 15.1293 Å, 90.00 90.00 120.00°
Space group R3m (No. 160, hexagonal axes)
Symmetry-distinct sites (fractional):
Na  0.0000  0.0000  0.0000 [3 per cell]
Sr  0.0000  0.0000  0.4330 [3 per cell]
Sr  0.0000  0.0000  0.7496 [3 per cell]
Cd  0.0000  0.0000  0.2074 [3 per cell]
Cd  0.0000  0.2992  0.0892 [18 per cell]
Cd  0.0071  0.5036  0.2387 [9 per cell]
Cd  0.1675  0.3349  0.9228 [9 per cell]
Cd  0.1734  0.3467  0.2730 [9 per cell]

This record from Alexandria describes a relaxed structure of Na5Sr2Cd12. The functional is GGA-PBE.

Properties
calculated total energy: -1.236 eV/atom
V: 26.3 Å³/atom
DFT formation energy: -0.13 eV per atom
D(E_F): 32.08 states/eV per cell
crystal system: trigonal

Cell: 10.4465 10.4465 15.8660 Å, 90.00 90.00 120.00°
Space group R-3m (No. 166, hexagonal axes)
Symmetry-distinct sites (fractional):
Na  0.0000  0.0000  0.0957 [6 per cell]
Na  0.0000  0.5000  0.5000 [9 per cell]
Sr  0.0000  0.0000  0.3479 [6 per cell]
Cd  0.0000  0.3027  0.0000 [18 per cell]
Cd  0.0146  0.5073  0.1460 [18 per cell]